(1)
# Al2MoIr (PBEsol, optimized geometry)
# Formation enthalpy at 0 K, eV per formula unit: -1.2
data_Al2MoIr
_space_group_name_H-M_alt 'C 1 2/m 1'
_space_group_IT_number 12
_space_group_name_Hall '-C 2y'
_cell_length_a 5.540
_cell_length_b 8.290
_cell_length_c 2.752
_cell_angle_alpha 90.00
_cell_angle_beta 113.40
_cell_angle_gamma 90.00
loop_
_atom_site_label
_atom_site_type_symbol
_atom_site_fract_x
_atom_site_fract_y
_atom_site_fract_z
Al1 Al 0.250 0.250 0.000
Mo1 Mo 0.000 0.000 0.500
Ir1 Ir 0.000 0.500 0.500

=====

(2)
# AlMoIr (PBEsol, optimized geometry)
# Formation enthalpy at 0 K, eV per formula unit: 0.4
data_AlMoIr
_space_group_name_H-M_alt 'F -4 3 m'
_space_group_IT_number 216
_space_group_name_Hall 'F -4 2 3'
_cell_length_a 5.885
_cell_length_b 5.885
_cell_length_c 5.885
_cell_angle_alpha 90.00
_cell_angle_beta 90.00
_cell_angle_gamma 90.00
loop_
_atom_site_label
_atom_site_type_symbol
_atom_site_fract_x
_atom_site_fract_y
_atom_site_fract_z
Al1 Al 0.000 0.000 0.000
Mo1 Mo 0.250 0.250 0.250
Ir1 Ir 0.000 0.000 0.500

=====

(3)
# AlMo2Ir (PBEsol, optimized geometry)
# Energy relative to the lowest polymorph listed for this composition, meV per atom: 0
# Formation enthalpy at 0 K, eV per formula unit: -1.4
data_AlMo2Ir
_space_group_name_H-M_alt 'I m m m'
_space_group_IT_number 71
_space_group_name_Hall '-I 2 2'
_cell_length_a 3.290
_cell_length_b 4.039
_cell_length_c 8.716
_cell_angle_alpha 90.00
_cell_angle_beta 90.00
_cell_angle_gamma 90.00
loop_
_atom_site_label
_atom_site_type_symbol
_atom_site_fract_x
_atom_site_fract_y
_atom_site_fract_z
Al1 Al 0.000 0.000 0.000
Mo1 Mo 0.000 0.500 0.250
Ir1 Ir 0.000 0.000 0.500

=====

(4)
# AlMoIr (PBEsol, optimized geometry)
# Formation enthalpy at 0 K, eV per formula unit: -0.7
data_AlMoIr
_space_group_name_H-M_alt 'P 3 m 1'
_space_group_IT_number 156
_space_group_name_Hall 'P 3 -2"'
_cell_length_a 2.7825
_cell_length_b 2.7825
_cell_length_c 6.5369
_cell_angle_alpha 90.00
_cell_angle_beta 90.00
_cell_angle_gamma 120.00
loop_
_atom_site_label
_atom_site_type_symbol
_atom_site_fract_x
_atom_site_fract_y
_atom_site_fract_z
Al1 Al 0.0000 0.0000 0.0000
Mo1 Mo 0.6667 0.3333 0.3459
Ir1 Ir 0.3333 0.6667 0.6740

=====

(5)
# AlMoIr2Pt (PBEsol, optimized geometry)
# Formation enthalpy at 0 K, eV per formula unit: 5.7
data_AlMoIr2Pt
_space_group_name_H-M_alt 'P 4/m m m'
_space_group_IT_number 123
_space_group_name_Hall '-P 4 2'
_cell_length_a 4.390
_cell_length_b 4.390
_cell_length_c 4.402
_cell_angle_alpha 90.00
_cell_angle_beta 90.00
_cell_angle_gamma 90.00
loop_
_atom_site_label
_atom_site_type_symbol
_atom_site_fract_x
_atom_site_fract_y
_atom_site_fract_z
Al1 Al 0.000 0.000 0.000
Mo1 Mo 0.500 0.500 0.500
Ir1 Ir 0.000 0.500 0.000
Pt1 Pt 0.000 0.000 0.500

=====

(6)
# AlIr2N (PBEsol, optimized geometry)
# Uncorrected formation energy, kJ/mol of atoms: 69.53
data_AlIr2N
_space_group_name_H-M_alt 'F m -3 m'
_space_group_IT_number 225
_space_group_name_Hall '-F 4 2 3'
_cell_length_a 5.791
_cell_length_b 5.791
_cell_length_c 5.791
_cell_angle_alpha 90.00
_cell_angle_beta 90.00
_cell_angle_gamma 90.00
loop_
_atom_site_label
_atom_site_type_symbol
_atom_site_fract_x
_atom_site_fract_y
_atom_site_fract_z
Al1 Al 0.000 0.000 0.000
Ir1 Ir 0.250 0.250 0.250
N1 N 0.000 0.000 0.500

=====

(7)
# AlIrNO2 (PBEsol, optimized geometry)
# Uncorrected formation energy, kJ/mol of atoms: -10.94
data_AlIrNO2
_space_group_name_H-M_alt 'P 4/m m m'
_space_group_IT_number 123
_space_group_name_Hall '-P 4 2'
_cell_length_a 3.556
_cell_length_b 3.556
_cell_length_c 3.785
_cell_angle_alpha 90.00
_cell_angle_beta 90.00
_cell_angle_gamma 90.00
loop_
_atom_site_label
_atom_site_type_symbol
_atom_site_fract_x
_atom_site_fract_y
_atom_site_fract_z
Al1 Al 0.000 0.000 0.000
Ir1 Ir 0.500 0.500 0.500
N1 N 0.000 0.000 0.500
O1 O 0.000 0.500 0.000

=====

(8)
# AlIrPb2N (PBEsol, optimized geometry)
# Uncorrected formation energy, kJ/mol of atoms: 36.68
data_AlIrPb2N
_space_group_name_H-M_alt 'P 4/m m m'
_space_group_IT_number 123
_space_group_name_Hall '-P 4 2'
_cell_length_a 5.582
_cell_length_b 5.582
_cell_length_c 3.624
_cell_angle_alpha 90.00
_cell_angle_beta 90.00
_cell_angle_gamma 90.00
loop_
_atom_site_label
_atom_site_type_symbol
_atom_site_fract_x
_atom_site_fract_y
_atom_site_fract_z
Al1 Al 0.000 0.000 0.000
Ir1 Ir 0.500 0.500 0.500
Pb1 Pb 0.000 0.500 0.500
N1 N 0.500 0.500 0.000

=====

(9)
# AlIrSN2 (PBEsol, optimized geometry)
# Uncorrected formation energy, kJ/mol of atoms: 102.13
data_AlIrSN2
_space_group_name_H-M_alt 'P 4/m m m'
_space_group_IT_number 123
_space_group_name_Hall '-P 4 2'
_cell_length_a 3.659
_cell_length_b 3.659
_cell_length_c 4.541
_cell_angle_alpha 90.00
_cell_angle_beta 90.00
_cell_angle_gamma 90.00
loop_
_atom_site_label
_atom_site_type_symbol
_atom_site_fract_x
_atom_site_fract_y
_atom_site_fract_z
Al1 Al 0.000 0.000 0.000
Ir1 Ir 0.500 0.500 0.500
S1 S 0.000 0.000 0.500
N1 N 0.000 0.500 0.000

=====

(10)
# AlIrSeN2 (PBEsol, optimized geometry)
# Uncorrected formation energy, kJ/mol of atoms: 108.17
data_AlIrSeN2
_space_group_name_H-M_alt 'P 4/m m m'
_space_group_IT_number 123
_space_group_name_Hall '-P 4 2'
_cell_length_a 3.629
_cell_length_b 3.629
_cell_length_c 5.343
_cell_angle_alpha 90.00
_cell_angle_beta 90.00
_cell_angle_gamma 90.00
loop_
_atom_site_label
_atom_site_type_symbol
_atom_site_fract_x
_atom_site_fract_y
_atom_site_fract_z
Al1 Al 0.000 0.000 0.000
Ir1 Ir 0.500 0.500 0.500
Se1 Se 0.000 0.000 0.500
N1 N 0.000 0.500 0.000

=====

(11)
# NaAlP2Ir (PBEsol, optimized geometry)
# Formation enthalpy at 0 K, eV per formula unit: 2.2
data_NaAlP2Ir
_space_group_name_H-M_alt 'P 4/m m m'
_space_group_IT_number 123
_space_group_name_Hall '-P 4 2'
_cell_length_a 4.512
_cell_length_b 4.512
_cell_length_c 5.246
_cell_angle_alpha 90.00
_cell_angle_beta 90.00
_cell_angle_gamma 90.00
loop_
_atom_site_label
_atom_site_type_symbol
_atom_site_fract_x
_atom_site_fract_y
_atom_site_fract_z
Na1 Na 0.000 0.000 0.000
Al1 Al 0.500 0.500 0.000
P1 P 0.000 0.500 0.500
Ir1 Ir 0.000 0.000 0.500

=====

(12)
# Nb6Al11Ir (PBEsol, optimized geometry)
# Formation enthalpy at 0 K, eV per formula unit: -7.5
data_Nb6Al11Ir
_space_group_name_H-M_alt 'P 63/m c m'
_space_group_IT_number 193
_space_group_name_Hall '-P 6c 2'
_cell_length_a 8.9547
_cell_length_b 8.9547
_cell_length_c 8.2250
_cell_angle_alpha 90.00
_cell_angle_beta 90.00
_cell_angle_gamma 120.00
loop_
_atom_site_label
_atom_site_type_symbol
_atom_site_fract_x
_atom_site_fract_y
_atom_site_fract_z
Nb1 Nb 0.0000 0.3399 0.0625
Al1 Al 0.0000 0.1660 0.7500
Al2 Al 0.1608 0.4909 0.7500
Al3 Al 0.3333 0.6667 0.0000
Ir1 Ir 0.0000 0.0000 0.0000

=====

(13)
# NbAlIr3 (PBEsol, optimized geometry)
# Energy relative to the lowest polymorph listed for this composition, meV per atom: 771
# Formation enthalpy at 0 K, eV per formula unit: 8.1
data_NbAlIr3
_space_group_name_H-M_alt 'P m -3 m'
_space_group_IT_number 221
_space_group_name_Hall '-P 4 2 3'
_cell_length_a 4.705
_cell_length_b 4.705
_cell_length_c 4.705
_cell_angle_alpha 90.00
_cell_angle_beta 90.00
_cell_angle_gamma 90.00
loop_
_atom_site_label
_atom_site_type_symbol
_atom_site_fract_x
_atom_site_fract_y
_atom_site_fract_z
Nb1 Nb 0.000 0.000 0.000
Al1 Al 0.500 0.500 0.500
Ir1 Ir 0.000 0.000 0.500

=====

(14)
# NbAl2Ir (PBEsol, optimized geometry)
# Formation enthalpy at 0 K, eV per formula unit: -0.2
data_NbAl2Ir
_space_group_name_H-M_alt 'I -4 2 d'
_space_group_IT_number 122
_space_group_name_Hall 'I -4 2bw'
_cell_length_a 7.029
_cell_length_b 7.029
_cell_length_c 5.378
_cell_angle_alpha 90.00
_cell_angle_beta 90.00
_cell_angle_gamma 90.00
loop_
_atom_site_label
_atom_site_type_symbol
_atom_site_fract_x
_atom_site_fract_y
_atom_site_fract_z
Nb1 Nb 0.000 0.000 0.000
Al1 Al 0.218 0.750 0.625
Ir1 Ir 0.000 0.000 0.500

=====

(15)
# NbAlIr3 (PBEsol, optimized geometry)
# Energy relative to the lowest polymorph listed for this composition, meV per atom: 0
# Formation enthalpy at 0 K, eV per formula unit: 4.3
data_NbAlIr3
_space_group_name_H-M_alt 'P m -3 m'
_space_group_IT_number 221
_space_group_name_Hall '-P 4 2 3'
_cell_length_a 4.370
_cell_length_b 4.370
_cell_length_c 4.370
_cell_angle_alpha 90.00
_cell_angle_beta 90.00
_cell_angle_gamma 90.00
loop_
_atom_site_label
_atom_site_type_symbol
_atom_site_fract_x
_atom_site_fract_y
_atom_site_fract_z
Nb1 Nb 0.000 0.000 0.000
Al1 Al 0.500 0.500 0.500
Ir1 Ir 0.000 0.500 0.500

=====

(16)
# Nb2Al3Ir (PBEsol, optimized geometry)
# Formation enthalpy at 0 K, eV per formula unit: -3.7
data_Nb2Al3Ir
_space_group_name_H-M_alt 'P 63/m m c'
_space_group_IT_number 194
_space_group_name_Hall '-P 6c 2c'
_cell_length_a 5.1655
_cell_length_b 5.1655
_cell_length_c 7.9399
_cell_angle_alpha 90.00
_cell_angle_beta 90.00
_cell_angle_gamma 120.00
loop_
_atom_site_label
_atom_site_type_symbol
_atom_site_fract_x
_atom_site_fract_y
_atom_site_fract_z
Nb1 Nb 0.3333 0.6667 0.0729
Al1 Al 0.1696 0.3392 0.7500
Ir1 Ir 0.0000 0.0000 0.0000

=====

(17)
# RbNb2AlIr (PBEsol, optimized geometry)
# Formation enthalpy at 0 K, eV per formula unit: 13.6
data_RbNb2AlIr
_space_group_name_H-M_alt 'P 4/m m m'
_space_group_IT_number 123
_space_group_name_Hall '-P 4 2'
_cell_length_a 4.726
_cell_length_b 4.726
_cell_length_c 4.746
_cell_angle_alpha 90.00
_cell_angle_beta 90.00
_cell_angle_gamma 90.00
loop_
_atom_site_label
_atom_site_type_symbol
_atom_site_fract_x
_atom_site_fract_y
_atom_site_fract_z
Rb1 Rb 0.000 0.000 0.000
Nb1 Nb 0.000 0.500 0.000
Al1 Al 0.500 0.500 0.500
Ir1 Ir 0.000 0.000 0.500

=====

(18)
# Nb2AlSnIr (PBEsol, optimized geometry)
# Formation enthalpy at 0 K, eV per formula unit: 7.1
data_Nb2AlSnIr
_space_group_name_H-M_alt 'P 4/m m m'
_space_group_IT_number 123
_space_group_name_Hall '-P 4 2'
_cell_length_a 4.597
_cell_length_b 4.597
_cell_length_c 4.706
_cell_angle_alpha 90.00
_cell_angle_beta 90.00
_cell_angle_gamma 90.00
loop_
_atom_site_label
_atom_site_type_symbol
_atom_site_fract_x
_atom_site_fract_y
_atom_site_fract_z
Nb1 Nb 0.000 0.500 0.000
Al1 Al 0.000 0.000 0.000
Sn1 Sn 0.000 0.000 0.500
Ir1 Ir 0.500 0.500 0.500

=====

(19)
# Al4NiIr (PBEsol, optimized geometry)
# Formation enthalpy at 0 K, eV per formula unit: 0.2
data_Al4NiIr
_space_group_name_H-M_alt 'F -4 3 m'
_space_group_IT_number 216
_space_group_name_Hall 'F -4 2 3'
_cell_length_a 6.929
_cell_length_b 6.929
_cell_length_c 6.929
_cell_angle_alpha 90.00
_cell_angle_beta 90.00
_cell_angle_gamma 90.00
loop_
_atom_site_label
_atom_site_type_symbol
_atom_site_fract_x
_atom_site_fract_y
_atom_site_fract_z
Al1 Al 0.125 0.125 0.125
Ni1 Ni 0.250 0.250 0.750
Ir1 Ir 0.000 0.000 0.500

=====

(20)
# AlNi2Ir (PBEsol, optimized geometry)
# Formation enthalpy at 0 K, eV per formula unit: -0.2
data_AlNi2Ir
_space_group_name_H-M_alt 'C m m 2'
_space_group_IT_number 35
_space_group_name_Hall 'C 2 -2'
_cell_length_a 2.916
_cell_length_b 4.356
_cell_length_c 7.812
_cell_angle_alpha 90.00
_cell_angle_beta 90.00
_cell_angle_gamma 90.00
loop_
_atom_site_label
_atom_site_type_symbol
_atom_site_fract_x
_atom_site_fract_y
_atom_site_fract_z
Al1 Al 0.000 0.000 0.000
Ni1 Ni 0.000 0.000 0.475
Ni2 Ni 0.000 0.500 0.233
Ir1 Ir 0.000 0.500 0.740